No. 1
Pm6Te3AsSe2 | PBE | relaxed

a = 7.453 Å, b = 12.909 Å, c = 7.649 Å
α = 90.00°, β = 108.95°, γ = 90.00°
Space group C2/m (No. 12)
Asymmetric unit:
Pm (0.237, 0.164, 0.218) x8
Pm (0.246, 0.500, 0.219) x4
Te (0.000, 0.168, 0.500) x4
Te (0.000, 0.500, 0.500) x2
As (0.000, 0.000, 0.000) x2
Se (0.000, 0.334, 0.000) x4

***

No. 2
Pm4Te2AsSe | PBE | relaxed

a = 7.440 Å, b = 4.302 Å, c = 7.677 Å
α = 90.00°, β = 108.87°, γ = 90.00°
Space group P2/m (No. 10)
Asymmetric unit:
Pm (0.235, 0.000, 0.218) x2
Pm (0.256, 0.500, 0.781) x2
Te (0.000, 0.000, 0.500) x1
Te (0.500, 0.500, 0.500) x1
As (0.000, 0.500, 0.000) x1
Se (0.500, 0.000, 0.000) x1

***

No. 3
PmThAsSe | PBE | relaxed

Computed properties:
* relative energy among the computed polymorphs: 3.85 kcal/mol of atoms

a = 5.0069 Å, b = 5.0069 Å, c = 32.5636 Å
α = 90.00°, β = 90.00°, γ = 120.00°
Space group R-3m (No. 166, hexagonal axes)
Asymmetric unit:
Pm (0.0000, 0.0000, 0.2037) x6
Th (0.0000, 0.0000, 0.3829) x6
As (0.0000, 0.0000, 0.2950) x6
Se (0.0000, 0.0000, 0.1114) x6

***

No. 4
PmTh2As2Se2 | PBE | relaxed

a = 5.445 Å, b = 5.445 Å, c = 14.784 Å
α = 90.00°, β = 90.00°, γ = 90.00°
Space group I4/mmm (No. 139)
Asymmetric unit:
Pm (0.000, 0.000, 0.000) x2
Th (0.000, 0.000, 0.385) x4
As (0.000, 0.500, 0.000) x4
Se (0.000, 0.000, 0.196) x4

***

No. 5
PmThAsSe | PBE | relaxed

Computed properties:
* relative energy among the computed polymorphs: 0.00 kcal/mol of atoms

a = 7.286 Å, b = 7.286 Å, c = 7.286 Å
α = 90.00°, β = 90.00°, γ = 90.00°
Space group F-43m (No. 216)
Asymmetric unit:
Pm (0.000, 0.000, 0.000) x4
Th (0.000, 0.000, 0.500) x4
As (0.250, 0.250, 0.250) x4
Se (0.250, 0.250, 0.750) x4

***

No. 6
Pm6TlAs2Se3 | PBE | relaxed

a = 18.619 Å, b = 4.229 Å, c = 8.619 Å
α = 90.00°, β = 103.19°, γ = 90.00°
Space group C2/m (No. 12)
Asymmetric unit:
Pm (0.002, 0.000, 0.263) x4
Pm (0.170, 0.500, 0.093) x4
Pm (0.170, 0.500, 0.577) x4
Tl (0.000, 0.500, 0.000) x2
As (0.168, 0.000, 0.335) x4
Se (0.000, 0.500, 0.500) x2
Se (0.167, 0.000, 0.832) x4

***

Number 1: electronic total energy -137.8 eV for the cell shown, formation energy (no corrections) -1.61 eV per atom. Number 2: electronic total energy -46.2 eV for the cell shown, formation energy (no corrections) -1.60 eV per atom. Number 3: electronic total energy -149.9 eV for the cell shown, formation energy (no corrections) -1.17 eV per atom. Number 4: electronic total energy -85.7 eV for the cell shown, formation energy (no corrections) -1.00 eV per atom. Number 5: electronic total energy -102.6 eV for the cell shown, formation energy (no corrections) -1.34 eV per atom. Number 6: electronic total energy -137.2 eV for the cell shown, formation energy (no corrections) -1.50 eV per atom.